1.
This record from the Alexandria database describes LiCaHIr after structural relaxation. The functional is GGA-PBE.

## Properties
SG: I4mm, No. 107
calculated total energy: -4.1689 eV per atom
crystal system: tetragonal

Unit cell a=3.0104 b=3.0104 c=13.0108 alpha=90.00 beta=90.00 gamma=90.00
With the nearest neighbours (Å) after each atom.
Positions (direct):
Li 0.0000 0.0000 0.0000  1 H 1.86
Li 0.5000 0.5000 0.5000  1 H 1.86
Ca 0.0000 0.0000 0.7247  4 H 2.38
Ca 0.5000 0.5000 0.2247  4 H 2.38
H 0.0000 0.0000 0.1429  1 Li 1.86
H 0.5000 0.5000 0.6429  1 Li 1.86
Ir 0.0000 0.0000 0.3815  4 Li 2.63
Ir 0.5000 0.5000 0.8815  4 Li 2.63

***

2.
This record from the Alexandria database describes BaCaFe2 after structural relaxation. The functional is GGA-PBE.

## Properties
SG: Imm2, No. 44
ΔE_f: 0.505 eV/atom
crystal system: orthorhombic

Unit cell a=3.7767 b=4.7689 c=12.3340 alpha=90.00 beta=90.00 gamma=90.00
With the nearest neighbours (Å) after each atom.
Positions (direct):
Ba 0.0000 0.0000 0.0000  6 Fe 3.35-3.62, 2 Ca 3.73
Ba 0.5000 0.5000 0.5000  6 Fe 3.35-3.62, 2 Ca 3.73
Ca 0.0000 0.5000 0.2330  6 Fe 3.05-3.09
Ca 0.5000 0.0000 0.7330  6 Fe 3.05-3.09
Fe 0.0000 0.0000 0.3868  2 Fe 2.31
Fe 0.0000 0.5000 0.7792  2 Fe 2.31
Fe 0.5000 0.0000 0.2792  2 Fe 2.31
Fe 0.5000 0.5000 0.8868  2 Fe 2.31

***

3.
This record from the Alexandria database describes ScTaNbMo after structural relaxation. The functional is GGA-PBE.

## Properties
SG: F-43m, No. 216
ΔE_f: 0.133 eV/atom
crystal system: cubic

Unit cell a=6.6208 b=6.6208 c=6.6208 alpha=90.00 beta=90.00 gamma=90.00
With the nearest neighbours (Å) after each atom.
Positions (direct):
Sc 0.0000 0.0000 0.0000  4 Mo 2.87, 4 Nb 2.87
Sc 0.0000 0.5000 0.5000  4 Mo 2.87, 4 Nb 2.87
Sc 0.5000 0.0000 0.5000  4 Mo 2.87, 4 Nb 2.87
Sc 0.5000 0.5000 0.0000  4 Mo 2.87, 4 Nb 2.87
Ta 0.0000 0.0000 0.5000  4 Nb 2.87, 4 Mo 2.87
Ta 0.0000 0.5000 0.0000  4 Nb 2.87, 4 Mo 2.87
Ta 0.5000 0.0000 0.0000  4 Nb 2.87, 4 Mo 2.87
Ta 0.5000 0.5000 0.5000  4 Nb 2.87, 4 Mo 2.87
Nb 0.2500 0.2500 0.7500  4 Ta 2.87, 4 Sc 2.87
Nb 0.2500 0.7500 0.2500  4 Ta 2.87, 4 Sc 2.87
Nb 0.7500 0.2500 0.2500  4 Ta 2.87, 4 Sc 2.87
Nb 0.7500 0.7500 0.7500  4 Ta 2.87, 4 Sc 2.87
Mo 0.2500 0.2500 0.2500  4 Ta 2.87, 4 Sc 2.87
Mo 0.2500 0.7500 0.7500  4 Ta 2.87, 4 Sc 2.87
Mo 0.7500 0.2500 0.7500  4 Ta 2.87, 4 Sc 2.87
Mo 0.7500 0.7500 0.2500  4 Ta 2.87, 4 Sc 2.87